Record 1
TaFeAs2 GGA-PBE optimized geometry; calculated formation energy = 0.37 eV per formula unit; M_tot = 1.35 μB/f.u.
1.0
-2.104 6.641 -4.115
-3.730 6.997 -1.608
-0.851 7.870 -1.671
As Ta Fe
2 1 1
Cartesian
-0.062 0.198 -0.068
-3.281 10.556 -3.629
-1.671 5.377 -1.848
-5.013 16.131 -5.545

Record 2
TaFeAs2 GGA-PBE optimized geometry; calculated formation energy = -0.66 eV per formula unit; M_tot = 1.17 μB/f.u.
1.0
-1.593 2.761 -5.028
-4.234 -1.142 -4.027
1.409 0.620 5.751
As Ta Fe
2 1 1
Cartesian
-1.258 2.014 -1.451
-5.659 1.572 -8.794
-3.126 0.215 -1.801
-3.114 0.865 -4.840

Record 3
TaFeAs2 GGA-PBE optimized geometry; calculated formation energy = -0.13 eV per formula unit; M_tot = 1.48 μB/f.u.
1.0
-1.263 -1.315 -3.952
-3.019 -2.556 1.816
-2.116 2.410 -0.126
As Ta Fe
2 1 1
Cartesian
0.000 0.000 0.000
-2.141 -1.936 -1.068
-2.568 -0.073 0.845
-1.690 0.547 -2.039

Record 4
TaFeAs2 GGA-PBE optimized geometry; calculated formation energy = 0.19 eV per formula unit; M_tot = 1.41 μB/f.u.
1.0
4.153 -1.345 0.769
0.817 -2.948 3.207
1.222 -4.131 -1.045
Ta Fe As
1 1 2
Cartesian
3.096 -4.212 1.466
0.000 0.000 0.000
1.548 -2.106 0.733
4.644 -6.318 2.198

Record 5
Ta3FeAs GGA-PBE optimized geometry; calculated formation energy = 3.54 eV per formula unit; M_tot = 0.00 μB/f.u.
1.0
-3.411 -1.546 2.652
2.945 -2.767 2.174
0.867 3.318 3.049
Fe Ta As
1 3 1
Cartesian
0.000 0.000 0.000
-1.705 -0.773 1.326
1.473 -1.384 1.087
0.433 1.659 1.525
0.201 -0.498 3.938

Record 6
TaFe3As GGA-PBE optimized geometry; calculated formation energy = 4.15 eV per formula unit; M_tot = 0.00 μB/f.u.
1.0
-1.581 -2.934 2.547
2.002 -2.972 -2.181
3.330 0.393 2.520
Fe As Ta
3 1 1
Cartesian
1.001 -1.486 -1.090
-0.791 -1.467 1.273
1.665 0.197 1.260
0.000 0.000 0.000
1.875 -2.756 1.443

Record 7
TaFeAs2 GGA-PBE optimized geometry; calculated formation energy = -0.02 eV per formula unit; M_tot = 1.68 μB/f.u.
1.0
-1.038 -3.728 -2.259
2.853 -0.377 -0.689
2.041 -2.785 3.658
Ta Fe As
1 1 2
Cartesian
2.980 -4.228 1.162
1.876 -1.429 1.495
2.214 -2.733 3.492
1.274 -2.867 -0.298

Record 8
TaFeAs2 GGA-PBE optimized geometry; calculated formation energy = 0.32 eV per formula unit; M_tot = 0.68 μB/f.u.
1.0
3.890 -0.009 0.008
2.566 2.924 0.008
1.159 0.523 5.523
As Fe Ta
2 1 1
Cartesian
1.156 0.522 5.309
3.812 1.721 2.984
5.712 2.579 4.154
1.904 0.860 1.385

Record 9
TaFeAs2 GGA-PBE optimized geometry; calculated formation energy = -0.50 eV per formula unit; M_tot = 2.14 μB/f.u.
1.0
-3.812 -2.222 -2.387
-3.135 -3.885 0.497
-2.666 2.441 2.033
Ta As Fe
1 2 1
Cartesian
-2.394 -1.511 -0.309
-6.759 -2.959 -0.119
-0.403 0.251 0.239
-4.865 -1.281 0.403

Record 10
TaFeAs2 GGA-PBE optimized geometry; calculated formation energy = 1.39 eV per formula unit; M_tot = 3.10 μB/f.u.
1.0
5.681 0.000 0.000
0.000 5.681 0.000
2.841 2.841 5.635
As Ta Fe
4 2 2
Cartesian
4.261 4.355 4.226
4.167 1.420 1.409
7.102 7.008 4.226
1.514 4.261 1.409
0.000 0.000 0.000
5.681 2.841 2.818
2.841 5.681 2.818
2.841 2.841 0.000

Record 11
TaFeAs4 GGA-PBE optimized geometry; calculated formation energy = 4.78 eV per formula unit; M_tot = 2.56 μB/f.u.
1.0
0.000 3.785 3.785
3.785 0.000 3.785
3.785 3.785 0.000
As Ta Fe
4 1 1
Cartesian
2.838 2.838 2.838
4.731 4.731 2.838
2.838 4.731 4.731
4.731 2.838 4.731
0.000 0.000 0.000
5.677 5.677 5.677

Record 12
Ta4FeAs2 GGA-PBE optimized geometry; calculated formation energy = 3.82 eV per formula unit; M_tot = 0.00 μB/f.u.
1.0
-0.215 0.483 4.468
-1.263 -4.300 0.404
5.690 -3.749 2.945
Ta As Fe
4 2 1
Cartesian
-0.632 -2.150 0.202
0.747 -4.454 5.048
-0.108 0.242 2.234
3.465 -3.112 2.769
3.224 -5.163 5.244
0.988 -2.403 2.573
0.000 0.000 0.000

Record 13
TaFeAs2 GGA-PBE optimized geometry; calculated formation energy = 1.28 eV per formula unit; M_tot = 2.10 μB/f.u.
1.0
4.483 0.000 0.000
2.242 3.883 0.000
2.242 1.294 3.660
As Fe Ta
2 1 1
Cartesian
6.725 3.883 2.745
0.000 0.000 0.000
4.483 2.588 1.830
2.242 1.294 0.915

Record 14
TaFe3As GGA-PBE optimized geometry; calculated formation energy = 7.53 eV per formula unit; M_tot = 5.20 μB/f.u.
1.0
4.554 0.000 0.000
0.000 4.554 0.000
0.000 0.000 4.554
Fe Ta As
3 1 1
Cartesian
2.277 0.000 0.000
0.000 0.000 2.277
0.000 2.277 0.000
0.000 0.000 0.000
2.277 2.277 2.277

Record 15
TaFeAs2 GGA-PBE optimized geometry; calculated formation energy = -0.40 eV per formula unit; M_tot = 0.00 μB/f.u.
1.0
-1.456 2.174 -1.189
-2.174 -1.778 -0.610
-3.466 1.709 7.369
Fe As Ta
1 2 1
Cartesian
-1.725 0.851 3.668
-3.311 1.632 7.038
-2.974 0.769 1.566
-4.285 1.415 4.352

Record 16
TaFeAs2 GGA-PBE optimized geometry; calculated formation energy = 0.22 eV per formula unit; M_tot = 1.12 μB/f.u.
1.0
3.662 0.000 0.000
0.000 3.157 -0.060
0.000 0.099 5.521
As Fe Ta
2 1 1
Cartesian
0.000 0.889 5.476
0.000 0.838 2.775
1.831 0.814 1.365
1.831 2.442 4.095

Record 17
TaFeAs2 GGA-PBE optimized geometry; calculated formation energy = 0.16 eV per formula unit; M_tot = 0.97 μB/f.u.
1.0
10.250 0.304 0.179
9.743 3.201 0.179
9.743 1.708 2.713
As Ta Fe
2 1 1
Cartesian
29.075 5.098 3.003
23.178 4.064 2.394
7.118 1.248 0.735
14.968 2.624 1.546

Record 18
TaFeAs2 GGA-PBE optimized geometry; calculated formation energy = -0.71 eV per formula unit; M_tot = 2.18 μB/f.u.
1.0
3.380 0.000 0.000
0.000 3.380 0.000
0.000 0.000 5.565
Fe As Ta
1 2 1
Cartesian
0.000 0.000 2.583
0.000 0.000 5.359
1.690 1.690 1.664
1.690 1.690 4.307

Record 19
TaFe4As GGA-PBE optimized geometry; calculated formation energy = 0.22 eV per formula unit; M_tot = 6.53 μB/f.u.
1.0
2.295 1.888 3.751
-1.349 -1.136 4.449
2.809 -2.757 2.722
Fe As Ta
4 1 1
Cartesian
2.345 -1.252 6.820
0.946 0.120 5.465
3.016 -0.687 4.606
1.203 -2.192 4.953
0.000 0.000 0.000
0.939 -0.501 2.730

Record 20
Ta3FeAs GGA-PBE optimized geometry; calculated formation energy = 6.64 eV per formula unit; M_tot = 0.00 μB/f.u.
1.0
-1.381 2.629 -3.599
3.393 -1.822 -2.633
-2.889 -3.397 -1.373
Ta Fe As
3 1 1
Cartesian
-0.690 1.314 -1.799
1.697 -0.911 -1.317
-1.445 -1.698 -0.686
-0.438 -1.295 -3.802
0.000 0.000 0.000

Record 21
FeTcAs GGA-PBE optimized geometry; calculated formation energy = 0.16 eV per formula unit; M_tot = 0.30 μB/f.u.
1.0
-3.910 -0.581 0.261
-1.693 -0.522 3.544
-2.325 2.825 1.520
As Fe Tc
1 1 1
Cartesian
-3.964 0.861 2.662
-5.947 1.291 3.993
0.000 0.000 0.000

Record 22
FeTcAs GGA-PBE optimized geometry; calculated formation energy = 0.30 eV per formula unit; M_tot = 1.61 μB/f.u.
1.0
-3.315 -3.169 -1.922
-0.592 -1.519 -4.698
3.282 0.741 3.661
Fe Tc As
1 1 1
Cartesian
-1.346 -1.615 -2.281
-2.591 -3.109 -4.390
-3.877 -4.652 -6.569

Record 23
FeTcAs GGA-PBE optimized geometry; calculated formation energy = 1.14 eV per formula unit; M_tot = 3.11 μB/f.u.
1.0
-0.248 5.087 -3.994
-2.887 4.398 -3.349
0.902 2.234 1.431
As Fe Tc
1 1 1
Cartesian
0.893 2.250 1.412
-1.786 7.062 -4.411
-0.438 4.641 -1.482

Record 24
FeTcAs GGA-PBE optimized geometry; calculated formation energy = 0.54 eV per formula unit; M_tot = 1.88 μB/f.u.
1.0
-2.736 -3.221 1.410
1.080 -1.817 3.922
-0.960 3.911 -1.906
As Fe Tc
1 1 1
Cartesian
-0.004 -0.013 0.013
-0.543 -1.651 1.747
-1.109 -3.374 3.572

Record 25
FeTcAs GGA-PBE optimized geometry; calculated formation energy = 0.24 eV per formula unit; M_tot = 2.13 μB/f.u.
1.0
-3.170 -1.661 1.877
2.627 -2.342 -1.986
1.561 -0.277 2.392
Fe As Tc
1 1 1
Cartesian
0.954 -2.161 -0.301
0.262 -0.046 0.401
-0.197 -2.072 2.184

Record 26
TiFeTcAs GGA-PBE optimized geometry; calculated formation energy = -1.43 eV per formula unit; M_tot = 0.00 μB/f.u.
1.0
-1.880 3.688 0.833
-1.880 2.160 -3.104
-4.211 0.297 -0.115
Ti Fe Tc As
1 1 1 1
Cartesian
0.000 0.000 0.000
-1.993 1.536 -0.597
-5.978 4.609 -1.790
-3.985 3.073 -1.193

Record 27
TlFe2TcAs GGA-PBE optimized geometry; calculated formation energy = 10.26 eV per formula unit; M_tot = 9.06 μB/f.u.
1.0
4.832 0.000 0.000
0.000 5.182 0.000
0.000 0.000 4.832
Fe Tl Tc As
2 1 1 1
Cartesian
2.416 0.000 0.000
0.000 0.000 2.416
0.000 0.000 0.000
2.416 2.591 2.416
0.000 2.591 0.000

Record 28
UFeTc2As2 GGA-PBE optimized geometry; calculated formation energy = -1.15 eV per formula unit; M_tot = 0.09 μB/f.u.
1.0
-0.678 -3.970 -0.903
3.048 -1.610 4.786
-6.658 0.160 4.294
Tc As U Fe
4 4 2 2
Cartesian
-2.629 -1.295 7.665
-0.164 -0.586 2.699
-4.960 -2.708 6.194
-0.591 -2.045 0.000
-2.461 -3.084 5.971
-1.835 -2.331 2.192
-5.193 -0.296 5.199
1.729 -1.231 4.111
-0.022 -1.425 6.281
-2.502 -0.597 4.504
-0.304 -3.012 4.038
-4.482 -2.144 3.356

Record 29
FeTe2As GGA-PBE optimized geometry; ΔE_f (raw) = 0.556 eV/atom; M_tot = 3.02 μB/f.u.
1.0
-4.814 0.996 1.034
-1.436 -3.310 -3.496
-0.008 -2.495 2.365
As Te Fe
1 2 1
Cartesian
-2.411 -0.749 1.700
-3.125 -1.157 -1.231
0.000 0.000 0.000
-0.722 -2.902 -0.565

Record 30
Fe3TeAs GGA-PBE optimized geometry; ΔE_f (raw) = 0.657 eV/atom; M_tot = 7.67 μB/f.u.
1.0
-2.440 0.541 3.763
0.587 -4.364 1.008
3.756 1.033 2.287
Te Fe As
1 3 1
Cartesian
0.951 -1.395 3.529
-1.220 0.271 1.881
0.293 -2.182 0.504
1.878 0.517 1.144
0.000 0.000 0.000